(a)
A plane-wave DFT calculation with PBE was carried out for a relaxed SrEu2Pd crystal.

Lattice parameters (Å, degrees): 4.1331 4.1331 11.4611 79.61 79.61 60.00
Closest atoms and distances in Å follow each position.
Fractional coordinates of all 4 atoms:
Eu1 0.1154 0.1154 0.6537  3 Pd 2.94
Eu2 0.8846 0.8846 0.3463  3 Pd 2.94
Sr1 0.0000 0.0000 0.0000  2 Eu 3.88, 6 Sr 4.13
Pd1 0.5000 0.5000 0.5000  6 Eu 2.94

Density of states at the Fermi level (states/eV per cell): 22.163
Symmetry: No. 166

***

(b)
A plane-wave DFT calculation with PBE was carried out for a relaxed SrEu2Pd crystal.

Lattice parameters (Å, degrees): 3.7838 3.7838 9.8825 90.00 90.00 90.00
Closest atoms and distances in Å follow each position.
Fractional coordinates of all 4 atoms:
Pd1 0.5000 0.5000 0.0000  8 Eu 3.17
Sr1 0.5000 0.5000 0.5000  4 Sr 3.78, 8 Eu 4.20
Eu1 0.0000 0.0000 0.8279  4 Pd 3.17, 1 Eu 3.40
Eu2 0.0000 0.0000 0.1721  4 Pd 3.17, 1 Eu 3.40

Density of states at the Fermi level (states/eV per cell): 21.362
Symmetry: No. 123

***

It is (b) that is the most stable of them.

***

(a)
A plane-wave DFT calculation with PBE was carried out for a relaxed TbEuPd crystal.

Lattice parameters (Å, degrees): 4.9940 4.9940 4.9940 60.00 60.00 60.00
Closest atoms and distances in Å follow each position.
Fractional coordinates of all 3 atoms:
Pd1 0.2500 0.2500 0.2500  4 Tb 3.06, 4 Eu 3.06
Eu1 0.0000 0.0000 0.0000  4 Pd 3.06
Tb1 0.5000 0.5000 0.5000  4 Pd 3.06

Density of states at the Fermi level (states/eV per cell): 2.562
Symmetry: No. 216

***

(b)
A plane-wave DFT calculation with PBE was carried out for a relaxed TbEuPd crystal.

Lattice parameters (Å, degrees): 3.6177 3.6177 6.8965 105.21 105.21 90.00
Closest atoms and distances in Å follow each position.
Fractional coordinates of all 3 atoms:
Eu1 0.0250 0.0250 0.0501  4 Pd 3.25, 1 Tb 3.44, 4 Eu 3.62
Pd1 0.6814 0.6814 0.3629  4 Tb 2.93, 4 Eu 3.25
Tb1 0.2935 0.2935 0.5870  4 Pd 2.93

Density of states at the Fermi level (states/eV per cell): 4.271
Symmetry: No. 107

***

It is (b) that is the most stable of them.

***

(a)
A plane-wave DFT calculation with PBE was carried out for a relaxed TbEu2Pd crystal.

Lattice parameters (Å, degrees): 3.7513 3.7513 11.0375 80.22 80.22 60.00
Closest atoms and distances in Å follow each position.
Fractional coordinates of all 4 atoms:
Eu1 0.1063 0.1063 0.6812  3 Pd 2.92
Eu2 0.8937 0.8937 0.3188  3 Pd 2.92
Pd1 0.5000 0.5000 0.5000  6 Eu 2.92
Tb1 0.0000 0.0000 0.0000  2 Eu 3.45, 6 Tb 3.75

Density of states at the Fermi level (states/eV per cell): 13.117
Symmetry: No. 166

***

(b)
A plane-wave DFT calculation with PBE was carried out for a relaxed TbEu2Pd crystal.

Lattice parameters (Å, degrees): 3.6493 3.6493 9.0859 90.00 90.00 90.00
Closest atoms and distances in Å follow each position.
Fractional coordinates of all 4 atoms:
Pd1 0.5000 0.5000 0.0000  8 Eu 3.12
Tb1 0.5000 0.5000 0.5000  4 Tb 3.65, 8 Eu 3.80
Eu1 0.0000 0.0000 0.1931  4 Pd 3.12
Eu2 0.0000 0.0000 0.8069  4 Pd 3.12

Density of states at the Fermi level (states/eV per cell): 14.475
Symmetry: No. 123

***

It is (b) that is the most stable of them.

***

(a)
A plane-wave DFT calculation with PBE was carried out for a relaxed Tb2EuPd crystal.

Lattice parameters (Å, degrees): 4.0493 4.0493 9.6688 77.91 77.91 60.00
Closest atoms and distances in Å follow each position.
Fractional coordinates of all 4 atoms:
Pd1 0.0000 0.0000 0.0000  6 Tb 2.82
Tb1 0.2776 0.2776 0.1672  3 Pd 2.82
Tb2 0.7224 0.7224 0.8328  3 Pd 2.82
Eu1 0.5000 0.5000 0.5000  6 Tb 3.90, 6 Eu 4.05

Density of states at the Fermi level (states/eV per cell): 4.738
Symmetry: No. 166

***

(b)
A plane-wave DFT calculation with PBE was carried out for a relaxed Tb2EuPd crystal.

Lattice parameters (Å, degrees): 3.6002 3.6002 8.9574 90.00 90.00 90.00
Closest atoms and distances in Å follow each position.
Fractional coordinates of all 4 atoms:
Pd1 0.5000 0.5000 0.0000  8 Tb 3.04
Tb1 0.0000 0.0000 0.8153  4 Pd 3.04, 1 Tb 3.31
Tb2 0.0000 0.0000 0.1847  4 Pd 3.04, 1 Tb 3.31
Eu1 0.5000 0.5000 0.5000  4 Eu 3.60, 8 Tb 3.80

Density of states at the Fermi level (states/eV per cell): 3.883
Symmetry: No. 123

***

It is (b) that is the most stable of them.

***

(a)
A plane-wave DFT calculation with PBE was carried out for a relaxed EuThPd2 crystal.

Lattice parameters (Å, degrees): 3.6723 3.6723 7.3821 90.00 90.00 90.00
Closest atoms and distances in Å follow each position.
Fractional coordinates of all 4 atoms:
Eu1 0.5000 0.5000 0.5000  8 Pd 3.36, 4 Eu 3.67, 2 Th 3.69
Pd1 0.0000 0.0000 0.7892  4 Th 3.03, 1 Pd 3.11, 4 Eu 3.36
Pd2 0.0000 0.0000 0.2108  4 Th 3.03, 1 Pd 3.11, 4 Eu 3.36
Th1 0.5000 0.5000 0.0000  8 Pd 3.03

Density of states at the Fermi level (states/eV per cell): 11.411
Symmetry: No. 123

***

(b)
A plane-wave DFT calculation with PBE was carried out for a relaxed EuThPd2 crystal.

Lattice parameters (Å, degrees): 5.1207 5.1207 5.1207 60.00 60.00 60.00
Closest atoms and distances in Å follow each position.
Fractional coordinates of all 4 atoms:
Th1 0.5000 0.5000 0.5000  8 Pd 3.14
Eu1 0.0000 0.0000 0.0000  8 Pd 3.14
Pd1 0.2500 0.2500 0.2500  4 Th 3.14, 4 Eu 3.14
Pd2 0.7500 0.7500 0.7500  4 Th 3.14, 4 Eu 3.14

Density of states at the Fermi level (states/eV per cell): 7.246
Symmetry: No. 225

***

(c)
A plane-wave DFT calculation with PBE was carried out for a relaxed EuThPd2 crystal.

Lattice parameters (Å, degrees): 4.1607 4.1607 7.5754 74.06 74.06 60.00
Closest atoms and distances in Å follow each position.
Fractional coordinates of all 4 atoms:
Th1 0.0000 0.0000 0.0000  6 Pd 2.91
Pd1 0.2568 0.2568 0.2297  3 Th 2.91, 3 Eu 3.09
Pd2 0.7432 0.7432 0.7703  3 Th 2.91, 3 Eu 3.09
Eu1 0.5000 0.5000 0.5000  6 Pd 3.09

Density of states at the Fermi level (states/eV per cell): 12.494
Symmetry: No. 166

***

It is (a) that is the most stable of them.

***

(a)
A plane-wave DFT calculation with PBE was carried out for a relaxed EuY2Pd crystal.

Lattice parameters (Å, degrees): 3.5894 3.5894 9.0169 90.00 90.00 90.00
Closest atoms and distances in Å follow each position.
Fractional coordinates of all 4 atoms:
Pd1 0.5000 0.5000 0.0000  8 Y 3.03
Y1 0.0000 0.0000 0.8155  4 Pd 3.03, 1 Y 3.33
Y2 0.0000 0.0000 0.1845  4 Pd 3.03, 1 Y 3.33
Eu1 0.5000 0.5000 0.5000  4 Eu 3.59, 8 Y 3.81

Density of states at the Fermi level (states/eV per cell): 4.083
Symmetry: No. 123

***

(b)
A plane-wave DFT calculation with PBE was carried out for a relaxed EuY2Pd crystal.

Lattice parameters (Å, degrees): 4.0294 4.0294 9.7355 78.06 78.06 60.00
Closest atoms and distances in Å follow each position.
Fractional coordinates of all 4 atoms:
Pd1 0.0000 0.0000 0.0000  6 Y 2.82
Y1 0.7227 0.7227 0.8318  3 Pd 2.82
Y2 0.2773 0.2773 0.1682  3 Pd 2.82
Eu1 0.5000 0.5000 0.5000  6 Y 3.90, 6 Eu 4.03

Density of states at the Fermi level (states/eV per cell): 5.066
Symmetry: No. 166

***

It is (a) that is the most stable of them.

***

(a)
A plane-wave DFT calculation with PBE was carried out for a relaxed EuZrPd2 crystal.

Lattice parameters (Å, degrees): 3.1833 5.1058 5.1058 90.00 90.00 90.00
Closest atoms and distances in Å follow each position.
Fractional coordinates of all 4 atoms:
Eu1 0.5000 0.5000 0.5000  8 Pd 3.01, 2 Eu 3.18
Zr1 0.5000 0.0000 0.0000  8 Pd 3.01, 2 Zr 3.18
Pd1 0.0000 0.5000 0.0000  4 Zr 3.01, 4 Eu 3.01, 2 Pd 3.18
Pd2 0.0000 0.0000 0.5000  4 Zr 3.01, 4 Eu 3.01, 2 Pd 3.18

Density of states at the Fermi level (states/eV per cell): 9.594
Symmetry: No. 123

***

(b)
A plane-wave DFT calculation with PBE was carried out for a relaxed EuZrPd2 crystal.

Lattice parameters (Å, degrees): 4.9108 4.9108 4.9108 60.00 60.00 60.00
Closest atoms and distances in Å follow each position.
Fractional coordinates of all 4 atoms:
Pd1 0.2500 0.2500 0.2500  4 Zr 3.01, 4 Eu 3.01
Pd2 0.7500 0.7500 0.7500  4 Zr 3.01, 4 Eu 3.01
Eu1 0.0000 0.0000 0.0000  8 Pd 3.01
Zr1 0.5000 0.5000 0.5000  8 Pd 3.01

Density of states at the Fermi level (states/eV per cell): 8.973
Symmetry: No. 225

***

(c)
A plane-wave DFT calculation with PBE was carried out for a relaxed EuZrPd2 crystal.

Lattice parameters (Å, degrees): 4.0473 4.0473 7.1371 73.53 73.53 60.00
Closest atoms and distances in Å follow each position.
Fractional coordinates of all 4 atoms:
Eu1 0.5000 0.5000 0.5000  6 Pd 3.06
Zr1 0.0000 0.0000 0.0000  6 Pd 2.73
Pd1 0.2640 0.2640 0.2080  3 Zr 2.73
Pd2 0.7360 0.7360 0.7920  3 Zr 2.73

Density of states at the Fermi level (states/eV per cell): 12.054
Symmetry: No. 166

***

(d)
A plane-wave DFT calculation with PBE was carried out for a relaxed EuZrPd2 crystal.

Lattice parameters (Å, degrees): 3.4264 3.4264 7.3627 90.00 90.00 90.00
Closest atoms and distances in Å follow each position.
Fractional coordinates of all 4 atoms:
Pd1 0.0000 0.0000 0.2009  4 Zr 2.84, 1 Pd 2.96
Pd2 0.0000 0.0000 0.7991  4 Zr 2.84, 1 Pd 2.96
Zr1 0.5000 0.5000 0.0000  8 Pd 2.84
Eu1 0.5000 0.5000 0.5000  8 Pd 3.27, 4 Eu 3.43

Density of states at the Fermi level (states/eV per cell): 9.542
Symmetry: No. 123

***

It is (d) that is the most stable of them.

***

(a)
A plane-wave DFT calculation with PBE was carried out for a relaxed PmEu3 crystal.

Lattice parameters (Å, degrees): 5.3523 5.3523 6.6638 113.68 113.68 90.00
Closest atoms and distances in Å follow each position.
Fractional coordinates of all 4 atoms:
Eu1 0.2500 0.7500 0.5000  8 Eu 3.78-3.83, 4 Pm 3.83
Eu2 0.5000 0.5000 0.0000  4 Pm 3.78, 8 Eu 3.83
Eu3 0.7500 0.2500 0.5000  8 Eu 3.78-3.83, 4 Pm 3.83
Pm1 0.0000 0.0000 0.0000  12 Eu 3.78-3.83

Density of states at the Fermi level (states/eV per cell): 17.798
Symmetry: No. 139

***

(b)
A plane-wave DFT calculation with PBE was carried out for a relaxed PmEu3 crystal.

Lattice parameters (Å, degrees): 7.6703 7.6703 6.1897 90.00 90.00 120.00
Closest atoms and distances in Å follow each position.
Fractional coordinates of all 8 atoms:
Eu1 0.1689 0.8311 0.2500  8 Eu 3.78-3.89, 4 Pm 3.79-3.84
Eu2 0.6623 0.8311 0.2500  8 Eu 3.78-3.89, 4 Pm 3.79-3.84
Eu3 0.8311 0.1689 0.7500  8 Eu 3.78-3.89, 4 Pm 3.79-3.84
Eu4 0.1689 0.3377 0.2500  8 Eu 3.78-3.89, 4 Pm 3.79-3.84
Eu5 0.3377 0.1689 0.7500  8 Eu 3.78-3.89, 4 Pm 3.79-3.84
Eu6 0.8311 0.6623 0.7500  8 Eu 3.78-3.89, 4 Pm 3.79-3.84
Pm1 0.6667 0.3333 0.2500  12 Eu 3.79-3.84
Pm2 0.3333 0.6667 0.7500  12 Eu 3.79-3.84

Density of states at the Fermi level (states/eV per cell): 9.986
Symmetry: No. 194

***

It is (b) that is the most stable of them.